No. 1
{"formula": "K4Hg4Pb", "functional": "GGA-PBE", "state": "relaxed", "lattice": [[-4.812, 3.239, 4.157], [-3.281, -9.070, 3.269], [6.768, 0.293, 7.605]], "species": ["K", "K", "K", "K", "K", "K", "K", "K", "Hg", "Hg", "Hg", "Hg", "Hg", "Hg", "Hg", "Hg", "Pb", "Pb"], "fractional_positions": [[0.098, 0.535, 0.178], [0.098, 0.965, 0.322], [0.598, 0.822, 0.035], [0.598, 0.678, 0.465], [0.902, 0.465, 0.822], [0.902, 0.035, 0.678], [0.402, 0.178, 0.965], [0.402, 0.322, 0.535], [0.085, 0.639, 0.502], [0.085, 0.861, 0.998], [0.585, 0.498, 0.139], [0.585, 0.002, 0.361], [0.915, 0.361, 0.498], [0.915, 0.139, 0.002], [0.415, 0.502, 0.861], [0.415, 0.998, 0.639], [0.750, 0.250, 0.250], [0.250, 0.750, 0.750]], "dos_ef_per_ev_atom": 0.444, "space_group": "No. 86", "magmom_total_mub_per_fu": 0.00, "formation_energy_mev_per_atom": -190}

No. 2
{"formula": "KHg6Pb12", "functional": "GGA-PBE", "state": "relaxed", "lattice": [[9.048, -0.189, -0.266], [-2.426, 8.719, -0.266], [-2.426, -3.124, 8.144]], "species": ["K", "Hg", "Hg", "Hg", "Hg", "Hg", "Hg", "Pb", "Pb", "Pb", "Pb", "Pb", "Pb", "Pb", "Pb", "Pb", "Pb", "Pb", "Pb"], "fractional_positions": [[0.000, 0.000, 0.000], [0.746, 0.266, 0.266], [0.266, 0.266, 0.746], [0.266, 0.746, 0.266], [0.734, 0.734, 0.254], [0.254, 0.734, 0.734], [0.734, 0.254, 0.734], [0.886, 0.114, 0.500], [0.809, 0.572, 0.572], [0.572, 0.572, 0.809], [0.428, 0.191, 0.428], [0.428, 0.428, 0.191], [0.191, 0.428, 0.428], [0.114, 0.500, 0.886], [0.500, 0.886, 0.114], [0.114, 0.886, 0.500], [0.886, 0.500, 0.114], [0.500, 0.114, 0.886], [0.572, 0.809, 0.572]], "dos_ef_per_ev_atom": 0.396, "space_group": "No. 166", "magmom_total_mub_per_fu": 0.00, "formation_energy_mev_per_atom": 39}

No. 3
{"formula": "KHg2Pb", "functional": "GGA-PBE", "state": "relaxed", "lattice": [[-1.721, -3.292, 0.082], [0.677, -0.261, 3.737], [-6.931, 3.759, 5.405]], "species": ["Pb", "K", "Hg", "Hg"], "fractional_positions": [[0.500, 0.750, 0.750], [0.500, 0.250, 0.250], [0.000, 0.019, 0.981], [0.000, 0.481, 0.519]], "dos_ef_per_ev_atom": 0.389, "space_group": "No. 10", "magmom_total_mub_per_fu": 0.00, "formation_energy_mev_per_atom": -137}

No. 4
{"formula": "KHg2Pb", "functional": "GGA-PBE", "state": "relaxed", "lattice": [[3.806, 0.016, 0.000], [-0.044, 3.805, 0.000], [0.000, 0.000, 8.650]], "species": ["Hg", "Hg", "K", "Pb"], "fractional_positions": [[0.000, 0.000, 0.009], [0.500, 0.500, 0.217], [0.000, 0.000, 0.477], [0.500, 0.500, 0.798]], "dos_ef_per_ev_atom": 0.562, "space_group": "No. 35", "magmom_total_mub_per_fu": 0.00, "formation_energy_mev_per_atom": -95}

No. 5
{"formula": "K3Hg2Pb", "functional": "GGA-PBE", "state": "relaxed", "lattice": [[8.278, 0.000, -3.891], [0.000, 9.898, 0.000], [-1.125, 0.000, 12.529]], "species": ["K", "K", "K", "K", "K", "K", "K", "K", "K", "K", "K", "K", "Hg", "Hg", "Hg", "Hg", "Hg", "Hg", "Hg", "Hg", "Pb", "Pb", "Pb", "Pb"], "fractional_positions": [[0.294, 0.890, 0.962], [0.206, 0.390, 0.538], [0.706, 0.110, 0.038], [0.794, 0.610, 0.462], [0.366, 0.533, 0.099], [0.134, 0.033, 0.401], [0.634, 0.467, 0.901], [0.866, 0.967, 0.599], [0.975, 0.720, 0.139], [0.525, 0.220, 0.361], [0.025, 0.280, 0.861], [0.475, 0.780, 0.639], [0.710, 0.883, 0.256], [0.790, 0.383, 0.244], [0.290, 0.117, 0.744], [0.210, 0.617, 0.756], [0.360, 0.561, 0.373], [0.140, 0.061, 0.127], [0.640, 0.439, 0.627], [0.860, 0.939, 0.873], [0.422, 0.848, 0.307], [0.078, 0.348, 0.193], [0.578, 0.152, 0.693], [0.922, 0.652, 0.807]], "dos_ef_per_ev_atom": 0.581, "space_group": "No. 14", "magmom_total_mub_per_fu": 0.00, "formation_energy_mev_per_atom": -177}

No. 6
{"formula": "K2HgPb2", "functional": "GGA-PBE", "state": "relaxed", "lattice": [[10.615, 0.000, 0.000], [0.000, 10.615, 0.000], [0.000, 0.000, 3.554]], "species": ["Pb", "Pb", "Pb", "Pb", "K", "K", "K", "K", "Hg", "Hg"], "fractional_positions": [[0.098, 0.598, 0.500], [0.598, 0.902, 0.500], [0.902, 0.402, 0.500], [0.402, 0.098, 0.500], [0.302, 0.802, 0.000], [0.802, 0.698, 0.000], [0.698, 0.198, 0.000], [0.198, 0.302, 0.000], [0.000, 0.000, 0.000], [0.500, 0.500, 0.000]], "dos_ef_per_ev_atom": 0.735, "space_group": "No. 127", "magmom_total_mub_per_fu": 0.00, "formation_energy_mev_per_atom": -41, "polymorph_energy_ev_per_fu": 0.54}

No. 7
{"formula": "KHg2Pb", "functional": "GGA-PBE", "state": "relaxed", "lattice": [[6.546, 0.018, 0.000], [3.148, 5.740, 0.000], [-4.847, -2.879, 3.328]], "species": ["Hg", "Hg", "K", "Pb"], "fractional_positions": [[0.000, 0.000, 0.000], [0.250, 0.750, 0.500], [0.500, 0.500, 0.000], [0.750, 0.250, 0.500]], "dos_ef_per_ev_atom": 0.565, "space_group": "No. 119", "magmom_total_mub_per_fu": 0.00, "formation_energy_mev_per_atom": -76}

No. 8
{"formula": "K2HgPb3", "functional": "GGA-PBE", "state": "relaxed", "lattice": [[5.014, 0.000, 2.100], [2.359, 6.219, 1.403], [0.094, -0.419, 6.811]], "species": ["K", "K", "Hg", "Pb", "Pb", "Pb"], "fractional_positions": [[0.562, 0.194, 0.682], [0.435, 0.808, 0.322], [0.173, 0.388, 0.266], [0.844, 0.599, 0.713], [0.833, 0.250, 0.083], [0.152, 0.761, 0.935]], "dos_ef_per_ev_atom": 0.311, "space_group": "No. 8", "magmom_total_mub_per_fu": 0.00, "formation_energy_mev_per_atom": -167}